(one)
Computed, not measured: an optimized crystal structure of CoTcPb2 at the PBE level of DFT.

abc: 3.3587 3.3606 7.2339
angles: 64.31 90.00 90.00
Closest atoms and distances in Å follow each position.
Fractional positions:
Pb 0.0000 0.5060 0.5034  4 Co 2.82-2.92, 4 Tc 2.88-2.91
Pb 0.0000 0.9940 0.9966  4 Co 2.82-2.92, 4 Tc 2.88-2.91
Co 0.5000 0.7500 0.7500  8 Pb 2.82-2.92
Tc 0.5000 0.2500 0.2500  8 Pb 2.88-2.91

Summary:
Spin magnetization in μB per formula unit: 0.41

---

(two)
Computed, not measured: an optimized crystal structure of CoTcPb2 at the PBE level of DFT.

abc: 5.5273 5.5273 5.0830
angles: 71.88 71.88 32.79
Closest atoms and distances in Å follow each position.
Fractional positions:
Pb 0.7726 0.7726 0.6918  3 Tc 2.88-3.10, 4 Co 3.04-3.06, 2 Pb 3.12
Pb 0.9787 0.9787 0.0585  3 Co 2.85-3.12, 4 Tc 3.04-3.05, 2 Pb 3.12
Co 0.2089 0.2089 0.2316  2 Tc 2.47
Tc 0.5398 0.5398 0.5181  2 Co 2.47

Summary:
Spin magnetization in μB per formula unit: 2.15

---

According to the calculations, the structures order from most to least stable as (two), (one).

---

(one)
Computed, not measured: an optimized crystal structure of CoTcPb2 at the PBE level of DFT.

abc: 10.1103 10.1103 10.1103
angles: 18.16 18.16 18.16
Closest atoms and distances in Å follow each position.
Fractional positions:
Pb 0.0196 0.0196 0.0196  3 Co 2.97, 6 Pb 3.19
Pb 0.2320 0.2320 0.2320  3 Tc 3.05, 6 Pb 3.19
Co 0.7644 0.7644 0.7644  3 Tc 2.43
Tc 0.4840 0.4840 0.4840  3 Co 2.43

Summary:
Spin magnetization in μB per formula unit: 2.39

---

(two)
Computed, not measured: an optimized crystal structure of CoTcPb2 at the PBE level of DFT.

abc: 4.0903 3.8405 5.4256
angles: 69.32 90.00 90.00
Closest atoms and distances in Å follow each position.
Fractional positions:
Tc 0.0000 0.6852 0.5046  2 Co 2.38
Pb 0.5000 0.2764 0.3218  3 Co 2.88-2.92, 4 Tc 2.95
Pb 0.0000 0.9737 0.9278  3 Tc 2.88-2.93, 4 Co 2.95
Co 0.5000 0.5647 0.7458  2 Tc 2.38

Summary:
Spin magnetization in μB per formula unit: 0.93

---

(three)
Computed, not measured: an optimized crystal structure of CoTcPb2 at the PBE level of DFT.

abc: 4.7012 4.7012 4.7012
angles: 60.00 60.00 60.00
Closest atoms and distances in Å follow each position.
Fractional positions:
Pb 0.7500 0.7500 0.7500  4 Tc 2.88, 4 Co 2.88
Pb 0.2500 0.2500 0.2500  4 Tc 2.88, 4 Co 2.88
Tc 0.5000 0.5000 0.5000  8 Pb 2.88
Co 0.0000 0.0000 0.0000  8 Pb 2.88

Summary:
Spin magnetization in μB per formula unit: 0.00

---

(four)
Computed, not measured: an optimized crystal structure of CoTcPb2 at the PBE level of DFT.

abc: 3.2017 3.2017 8.2794
angles: 90.00 90.00 113.98
Closest atoms and distances in Å follow each position.
Fractional positions:
Pb 0.0000 0.0000 0.5124  2 Co 2.63, 2 Tc 2.79
Pb 0.0000 0.0000 0.9876  2 Co 2.63, 2 Tc 2.79
Co 0.5000 0.5000 0.7500  4 Pb 2.63
Tc 0.5000 0.5000 0.2500  4 Pb 2.79

Summary:
Spin magnetization in μB per formula unit: 0.33

---

According to the calculations, the structures order from most to least stable as (two), (one), (three), (four).

---

(one)
Computed, not measured: an optimized crystal structure of Th2CoPb at the PBE level of DFT.

abc: 3.4067 3.4067 8.6906
angles: 90.00 90.00 90.00
Closest atoms and distances in Å follow each position.
Fractional positions:
Co 0.5000 0.5000 0.0000  8 Th 2.97
Th 0.0000 0.0000 0.2002  4 Co 2.97
Th 0.0000 0.0000 0.7998  4 Co 2.97
Pb 0.5000 0.5000 0.5000  4 Pb 3.41, 8 Th 3.55

Summary:
Spin magnetization in μB per formula unit: 0.00

---

(two)
Computed, not measured: an optimized crystal structure of Th2CoPb at the PBE level of DFT.

abc: 4.2907 4.8860 10.2213
angles: 89.99 90.00 90.00
Closest atoms and distances in Å follow each position.
Fractional positions:
Co 0.7010 0.2022 0.9792  2 Th 2.46-2.60
Co 0.2009 0.7021 0.2368  2 Th 2.46-2.60
Pb 0.7009 0.5286 0.3919  2 Co 2.80
Pb 0.2010 0.0287 0.8241  2 Co 2.80
Th 0.2010 0.1871 0.1723  2 Co 2.46-2.60
Th 0.7010 0.5155 0.7178  1 Co 3.08, 3 Pb 3.33-3.38, 1 Th 3.44
Th 0.2009 0.0154 0.4982  1 Co 3.08, 3 Pb 3.33-3.38, 1 Th 3.44
Th 0.7011 0.6871 0.0437  2 Co 2.46-2.60

Summary:
Spin magnetization in μB per formula unit: 0.00

---

(three)
Computed, not measured: an optimized crystal structure of Th2CoPb at the PBE level of DFT.

abc: 3.9104 3.9104 8.7674
angles: 77.11 77.11 60.00
Closest atoms and distances in Å follow each position.
Fractional positions:
Th 0.7280 0.7280 0.8160  3 Co 2.74
Th 0.2720 0.2720 0.1840  3 Co 2.74
Pb 0.5000 0.5000 0.5000  6 Th 3.50, 6 Pb 3.91
Co 0.0000 0.0000 0.0000  6 Th 2.74

Summary:
Spin magnetization in μB per formula unit: 0.00

---

According to the calculations, the structures order from most to least stable as (three), (one), (two).

---

(one)
Computed, not measured: an optimized crystal structure of TiCoPb2 at the PBE level of DFT.

abc: 4.3510 4.3510 10.0509
angles: 77.50 77.50 90.00
Closest atoms and distances in Å follow each position.
Fractional positions:
Co 0.7500 0.2500 0.5000  4 Pb 2.83, 4 Ti 3.08
Co 0.0000 0.0000 0.0000  4 Pb 2.83, 4 Ti 3.08
Pb 0.6323 0.1250 0.2500  2 Co 2.83, 2 Ti 2.86, 4 Pb 3.03-3.12
Pb 0.8750 0.8823 0.7500  2 Co 2.83, 2 Ti 2.86, 4 Pb 3.03-3.12
Pb 0.3750 0.3677 0.7500  2 Co 2.83, 2 Ti 2.86, 4 Pb 3.03-3.12
Pb 0.1177 0.6250 0.2500  2 Co 2.83, 2 Ti 2.86, 4 Pb 3.03-3.12
Ti 0.5000 0.5000 0.0000  4 Pb 2.86, 4 Co 3.08
Ti 0.2500 0.7500 0.5000  4 Pb 2.86, 4 Co 3.08

Summary:
Spin magnetization in μB per formula unit: 0.95

---

(two)
Computed, not measured: an optimized crystal structure of TiCoPb2 at the PBE level of DFT.

abc: 4.8157 4.8157 4.8157
angles: 60.00 60.00 60.00
Closest atoms and distances in Å follow each position.
Fractional positions:
Pb 0.2500 0.2500 0.2500  4 Co 2.95, 4 Ti 2.95
Pb 0.7500 0.7500 0.7500  4 Co 2.95, 4 Ti 2.95
Co 0.5000 0.5000 0.5000  8 Pb 2.95
Ti 0.0000 0.0000 0.0000  8 Pb 2.95

Summary:
Spin magnetization in μB per formula unit: 1.95

---

According to the calculations, the structures order from most to least stable as (two), (one).

---

(one)
Computed, not measured: an optimized crystal structure of TlCoPb2 at the PBE level of DFT.

abc: 5.9668 5.9668 8.5768
angles: 69.64 69.64 90.00
Closest atoms and distances in Å follow each position.
Fractional positions:
Co 0.2500 0.7500 0.5000  4 Pb 2.50
Co 0.5000 0.5000 0.0000  4 Pb 2.50
Pb 0.2500 0.6250 0.2500  2 Co 2.50
Pb 0.8750 0.7500 0.7500  2 Co 2.50
Pb 0.5000 0.1250 0.2500  2 Co 2.50
Pb 0.3750 0.5000 0.7500  2 Co 2.50
Tl 0.0000 0.0000 0.0000  4 Pb 3.27
Tl 0.7500 0.2500 0.5000  4 Pb 3.27

Summary:
Spin magnetization in μB per formula unit: 0.00

---

(two)
Computed, not measured: an optimized crystal structure of TlCoPb2 at the PBE level of DFT.

abc: 5.2501 5.2501 3.6513
angles: 90.00 90.00 90.00
Closest atoms and distances in Å follow each position.
Fractional positions:
Pb 0.5000 0.5000 0.0000  4 Tl 3.20, 4 Co 3.20
Pb 0.0000 0.0000 0.0000  4 Tl 3.20, 4 Co 3.20
Co 0.0000 0.5000 0.5000  8 Pb 3.20
Tl 0.5000 0.0000 0.5000  8 Pb 3.20

Summary:
Spin magnetization in μB per formula unit: 1.58

---

(three)
Computed, not measured: an optimized crystal structure of TlCoPb2 at the PBE level of DFT.

abc: 5.7285 5.7285 5.7285
angles: 132.35 132.35 69.68
Closest atoms and distances in Å follow each position.
Fractional positions:
Co 0.7500 0.2500 0.5000  8 Pb 3.27-3.30, 4 Tl 3.30
Pb 0.0000 0.0000 0.0000  4 Tl 3.27, 4 Pb 3.30, 4 Co 3.30
Pb 0.2500 0.7500 0.5000  4 Co 3.27, 4 Tl 3.30, 4 Pb 3.30
Tl 0.5000 0.5000 0.0000  8 Pb 3.27-3.30, 4 Co 3.30

Summary:
Spin magnetization in μB per formula unit: 1.67

---

According to the calculations, the structures order from most to least stable as (one), (three), (two).